A relaxed structure of Ac2MnBiO6, computed with PBE+U.

Computed properties:
SG: No. 99
Uncorrected energy (eV/atom): -7.1764

a b c (Å): 5.628 5.628 5.292
angles (deg): 90.00 90.00 90.00
Fractional coordinates of all 10 atoms:
Ac1 0.000 0.500 0.000
Ac2 0.500 0.000 0.000
Mn1 0.000 0.000 0.600
Bi1 0.500 0.500 0.542
O1 0.000 0.000 0.197
O2 0.236 0.236 0.707
O3 0.236 0.764 0.707
O4 0.500 0.500 0.109
O5 0.764 0.236 0.707
O6 0.764 0.764 0.707